# RbLiBi2H PBE-GGA optimized geometry
data_RbLiBi2H
_chemical_formula_sum 'Rb1 Li1 Bi2 H1'
_cell_length_a 5.077
_cell_length_b 5.077
_cell_length_c 5.209
_cell_angle_alpha 90.00
_cell_angle_beta 90.00
_cell_angle_gamma 90.00
_symmetry_space_group_name_H-M 'P 1'
_symmetry_Int_Tables_number 1
loop_
_symmetry_equiv_pos_as_xyz
'x,y,z'
loop_
_atom_site_label
_atom_site_fract_x
_atom_site_fract_y
_atom_site_fract_z
_atom_site_occupancy
Rb1 0.000 0.000 0.000 1
Li1 0.500 0.500 0.000 1
Bi1 0.000 0.500 0.500 1
Bi2 0.500 0.000 0.500 1
H1 0.500 0.500 0.500 1
# Size of the total moment in μB per atom: 0.000
# Total energy in eV/atom: -2.75
# N(E_F) in states/eV/cell: 1.541